[1]
Sb5Te: optimized geometry, PBE.

Calculated values
Its size of the total moment is 0.00 μB/cell. As for the density of states at the Fermi level: 6.98 states/eV per cell. The calculation puts the polymorph energy (0 for the lowest one) at 0.245 eV/atom. The calculation puts the final energy at -3.517 eV per atom. The formation energy (no corrections) comes out at 0.44 eV/atom.

Unit cell a=6.263 b=6.263 c=6.263 alpha=60.00 beta=60.00 gamma=60.00
Fractional coordinates of all 6 atoms:
Sb (0.000, 0.000, 0.000)
Sb (0.129, 0.624, 0.624)
Sb (0.624, 0.129, 0.624)
Sb (0.624, 0.624, 0.129)
Sb (0.624, 0.624, 0.624)
Te (0.250, 0.250, 0.250)



[2]
Sb4Te: optimized geometry, PBE.

Calculated values
Its size of the total moment is 0.00 μB/cell. As for the density of states at the Fermi level: 1.98 states/eV per cell. The calculation puts the polymorph energy (0 for the lowest one) at 0.000 eV/atom. The calculation puts the final energy at -3.792 eV per atom. The formation energy (no corrections) comes out at 0.13 eV/atom.

Unit cell a=6.473 b=6.473 c=6.473 alpha=95.51 beta=95.51 gamma=143.91
Fractional coordinates of all 5 atoms:
Sb (0.000, 0.304, 0.304)
Sb (0.000, 0.696, 0.696)
Sb (0.304, 0.000, 0.304)
Sb (0.696, 0.000, 0.696)
Te (0.500, 0.500, 0.000)



[3]
SbTe2: optimized geometry, PBE.

Calculated values
Its size of the total moment is 0.00 μB/cell. As for the density of states at the Fermi level: 1.68 states/eV per cell. The calculation puts the polymorph energy (0 for the lowest one) at 0.120 eV/atom. The calculation puts the final energy at -3.389 eV per atom. The formation energy (no corrections) comes out at 0.08 eV/atom.

Unit cell a=6.241 b=6.241 c=9.120 alpha=94.69 beta=94.69 gamma=36.64
Fractional coordinates of all 6 atoms:
Sb (0.006, 0.006, 0.170)
Sb (0.994, 0.994, 0.830)
Te (0.319, 0.319, 0.849)
Te (0.400, 0.400, 0.415)
Te (0.600, 0.600, 0.585)
Te (0.681, 0.681, 0.151)



[4]
Sb3Te: optimized geometry, PBE.

Calculated values
Its size of the total moment is 0.00 μB/cell. As for the density of states at the Fermi level: 4.59 states/eV per cell. The calculation puts the polymorph energy (0 for the lowest one) at 0.192 eV/atom. The calculation puts the final energy at -3.671 eV per atom. The formation energy (no corrections) comes out at 0.21 eV/atom.

Unit cell a=12.953 b=12.953 c=12.953 alpha=160.59 beta=160.59 gamma=27.59
Fractional coordinates of all 8 atoms:
Sb (0.000, 0.500, 0.500)
Sb (0.096, 0.096, 0.000)
Sb (0.250, 0.750, 0.500)
Sb (0.500, 0.000, 0.500)
Sb (0.750, 0.250, 0.500)
Sb (0.904, 0.904, 0.000)
Te (0.356, 0.356, 0.000)
Te (0.644, 0.644, 0.000)



[5]
Sb4Te3: optimized geometry, PBE.

Calculated values
Its size of the total moment is 0.00 μB/cell. As for the density of states at the Fermi level: 2.94 states/eV per cell. The calculation puts the final energy at -3.514 eV per atom. The formation energy (no corrections) comes out at 0.19 eV/atom.

Unit cell a=14.540 b=14.540 c=14.540 alpha=164.29 beta=164.29 gamma=22.29
Fractional coordinates of all 7 atoms:
Sb (0.053, 0.053, 0.000)
Sb (0.355, 0.355, 0.000)
Sb (0.645, 0.645, 0.000)
Sb (0.947, 0.947, 0.000)
Te (0.188, 0.188, 0.000)
Te (0.500, 0.500, 0.000)
Te (0.812, 0.812, 0.000)



[6]
SbTe5: optimized geometry, PBE.

Calculated values
Its size of the total moment is 0.00 μB/cell. As for the density of states at the Fermi level: 6.84 states/eV per cell. The calculation puts the polymorph energy (0 for the lowest one) at 0.543 eV/atom. The calculation puts the final energy at -2.754 eV per atom. The formation energy (no corrections) comes out at 0.55 eV/atom.

Unit cell a=6.321 b=6.321 c=6.321 alpha=60.00 beta=60.00 gamma=60.00
Fractional coordinates of all 6 atoms:
Sb (0.000, 0.000, 0.000)
Te (0.375, 0.375, 0.375)
Te (0.375, 0.375, 0.876)
Te (0.375, 0.876, 0.375)
Te (0.750, 0.750, 0.750)
Te (0.876, 0.375, 0.375)



[7]
Sb3Te: optimized geometry, PBE.

Calculated values
Its size of the total moment is 0.00 μB/cell. As for the density of states at the Fermi level: 1.26 states/eV per cell. The calculation puts the polymorph energy (0 for the lowest one) at 0.184 eV/atom. The calculation puts the final energy at -3.679 eV per atom. The formation energy (no corrections) comes out at 0.20 eV/atom.

Unit cell a=5.378 b=5.378 c=5.378 alpha=60.00 beta=60.00 gamma=60.00
Fractional coordinates of all 4 atoms:
Sb (0.000, 0.000, 0.000)
Sb (0.250, 0.250, 0.250)
Sb (0.750, 0.750, 0.750)
Te (0.500, 0.500, 0.500)



[8]
Sb16Te3: optimized geometry, PBE.

Calculated values
Its size of the total moment is 0.00 μB/cell. As for the density of states at the Fermi level: 2.92 states/eV per cell. The calculation puts the final energy at -4.021 eV per atom. The formation energy (no corrections) comes out at -0.05 eV/atom.

Unit cell a=36.748 b=36.748 c=36.748 alpha=6.87 beta=6.87 gamma=6.87
Fractional coordinates of all 19 atoms:
Sb (0.028, 0.028, 0.028)
Sb (0.076, 0.076, 0.076)
Sb (0.184, 0.184, 0.184)
Sb (0.236, 0.236, 0.236)
Sb (0.292, 0.292, 0.292)
Sb (0.340, 0.340, 0.340)
Sb (0.396, 0.396, 0.396)
Sb (0.444, 0.444, 0.444)
Sb (0.556, 0.556, 0.556)
Sb (0.604, 0.604, 0.604)
Sb (0.660, 0.660, 0.660)
Sb (0.708, 0.708, 0.708)
Sb (0.764, 0.764, 0.764)
Sb (0.816, 0.816, 0.816)
Sb (0.924, 0.924, 0.924)
Sb (0.972, 0.972, 0.972)
Te (0.134, 0.134, 0.134)
Te (0.500, 0.500, 0.500)
Te (0.866, 0.866, 0.866)



[9]
Sb3Te: optimized geometry, PBE.

Calculated values
Its size of the total moment is 0.00 μB/cell. As for the density of states at the Fermi level: 3.49 states/eV per cell. The calculation puts the polymorph energy (0 for the lowest one) at 0.000 eV/atom. The calculation puts the final energy at -3.863 eV per atom. The formation energy (no corrections) comes out at 0.01 eV/atom.

Unit cell a=6.370 b=6.370 c=6.214 alpha=90.00 beta=90.00 gamma=90.82
Fractional coordinates of all 8 atoms:
Sb (0.003, 0.515, 0.750)
Sb (0.023, 0.977, 0.750)
Sb (0.485, 0.997, 0.750)
Sb (0.515, 0.003, 0.250)
Sb (0.977, 0.023, 0.250)
Sb (0.997, 0.485, 0.250)
Te (0.500, 0.500, 0.250)
Te (0.500, 0.500, 0.750)



[10]
Sb3Te: optimized geometry, PBE.

Calculated values
Its size of the total moment is 0.00 μB/cell. As for the density of states at the Fermi level: 2.12 states/eV per cell. The calculation puts the polymorph energy (0 for the lowest one) at 0.006 eV/atom. The calculation puts the final energy at -3.857 eV per atom. The formation energy (no corrections) comes out at 0.02 eV/atom.

Unit cell a=4.307 b=6.365 c=4.553 alpha=90.00 beta=90.00 gamma=90.00
Fractional coordinates of all 4 atoms:
Sb (0.000, 0.000, 0.000)
Sb (0.000, 0.500, 0.025)
Sb (0.500, 0.500, 0.471)
Te (0.500, 0.000, 0.498)



[11]
SbTe2: optimized geometry, PBE.

Calculated values
Its size of the total moment is 0.00 μB/cell. As for the density of states at the Fermi level: 5.56 states/eV per cell. The calculation puts the polymorph energy (0 for the lowest one) at 0.267 eV/atom. The calculation puts the final energy at -3.242 eV per atom. The formation energy (no corrections) comes out at 0.23 eV/atom.

Unit cell a=5.619 b=5.619 c=6.284 alpha=90.00 beta=90.00 gamma=120.00
Fractional coordinates of all 6 atoms:
Sb (0.333, 0.667, 0.250)
Sb (0.667, 0.333, 0.750)
Te (0.000, 0.000, 0.000)
Te (0.000, 0.000, 0.500)
Te (0.333, 0.667, 0.750)
Te (0.667, 0.333, 0.250)



[12]
SbTe2: optimized geometry, PBE.

Calculated values
Its size of the total moment is 0.00 μB/cell. As for the density of states at the Fermi level: 4.09 states/eV per cell. The calculation puts the polymorph energy (0 for the lowest one) at 0.393 eV/atom. The calculation puts the final energy at -3.116 eV per atom. The formation energy (no corrections) comes out at 0.35 eV/atom.

Unit cell a=3.302 b=3.302 c=9.266 alpha=90.00 beta=90.00 gamma=120.00
Fractional coordinates of all 3 atoms:
Sb (0.000, 0.000, 0.000)
Te (0.333, 0.667, 0.311)
Te (0.667, 0.333, 0.689)